CaCuTe2 | PBE | relaxed

Output
Electronic total energy in eV per cell: -28.76
Total moment in μB/f.u.: 0.00
Formation energy from raw total energies in eV/atom: -0.500

Lattice parameters (Å, degrees): 3.8250 4.1043 13.7305 90.00 90.00 90.00
Space group Imm2 (No. 44)
Asymmetric unit:
Ca  0.0000  0.0000  0.0000 [2 per cell]
Cu  0.0000  0.5000  0.2488 [2 per cell]
Te  0.0000  0.0000  0.6011 [2 per cell]
Te  0.0000  0.5000  0.8213 [2 per cell]


Zn2Pd9Pb | PBE | relaxed

Output
Electronic total energy in eV per cell: -56.36
Total moment in μB/f.u.: 0.00
Energy relative to the elements in eV/atom: -0.281

Lattice parameters (Å, degrees): 4.0037 4.0037 11.8153 90.00 90.00 90.00
Space group P4/mmm (No. 123)
Asymmetric unit:
Zn  0.0000  0.0000  0.1596 [2 per cell]
Pd  0.0000  0.5000  0.0000 [2 per cell]
Pd  0.0000  0.5000  0.3197 [4 per cell]
Pd  0.5000  0.5000  0.1600 [2 per cell]
Pd  0.5000  0.5000  0.5000 [1 per cell]
Pb  0.0000  0.0000  0.5000 [1 per cell]


Tb3Y3Th2 | PBE | relaxed

Output
Electronic total energy in eV per cell: -95.84
Energy relative to the lowest polymorph listed for this composition in eV per formula unit: 0.000
Total moment in μB/f.u.: 0.00
Energy relative to the elements in eV/atom: 0.025

Lattice parameters (Å, degrees): 5.0461 5.0474 20.3013 90.00 90.00 90.00
Space group Immm (No. 71)
Asymmetric unit:
Tb  0.0000  0.0000  0.0000 [2 per cell]
Tb  0.0000  0.5000  0.3718 [4 per cell]
Y  0.0000  0.0000  0.5000 [2 per cell]
Y  0.0000  0.5000  0.1273 [4 per cell]
Th  0.0000  0.0000  0.2499 [4 per cell]


TeCSe2 | PBE | relaxed

Output
Electronic total energy in eV per cell: -44.14
Energy relative to the lowest polymorph listed for this composition in eV per formula unit: 1.255
Total moment in μB/f.u.: 0.00
Formation energy from raw total energies in eV/atom: 1.156

Lattice parameters (Å, degrees): 3.1230 3.1230 31.5668 90.00 90.00 120.00
Space group R-3m (No. 166, hexagonal axes)
Asymmetric unit:
Te  0.0000  0.0000  0.0000 [3 per cell]
C  0.0000  0.0000  0.5000 [3 per cell]
Se  0.0000  0.0000  0.1227 [6 per cell]


Hf2ZrTaN4 | PBE | relaxed

Output
Electronic total energy in eV per cell: -85.83
Total moment in μB/f.u.: 0.00
Formation energy from raw total energies in eV/atom: -1.528

Lattice parameters (Å, degrees): 5.5393 3.2001 5.5493 90.00 109.57 90.00
Space group P2/m (No. 10)
Asymmetric unit:
Hf  0.0000  0.0000  0.0000 [1 per cell]
Hf  0.5000  0.5000  0.0000 [1 per cell]
Zr  0.0000  0.5000  0.5000 [1 per cell]
Ta  0.5000  0.0000  0.5000 [1 per cell]
N  0.2541  0.5000  0.2460 [2 per cell]
N  0.2590  0.0000  0.7585 [2 per cell]


LiPdBr2Cl | PBE | relaxed

Output
Electronic total energy in eV per cell: -13.84
Total moment in μB/f.u.: 0.53
Formation energy from raw total energies in eV/atom: -0.308

Lattice parameters (Å, degrees): 4.8950 4.8950 6.2127 90.00 90.00 90.00
Space group P4/mmm (No. 123)
Asymmetric unit:
Li  0.0000  0.0000  0.0000 [1 per cell]
Pd  0.0000  0.0000  0.5000 [1 per cell]
Br  0.0000  0.5000  0.5000 [2 per cell]
Cl  0.5000  0.5000  0.0000 [1 per cell]